(1)
# LiSi2Br

A relaxed LiSi2Br crystal (PBE, Alexandria via LeMat-Bulk).

CIF file:
```
data_LiSi2Br
_space_group_name_H-M_alt 'P 1'
_space_group_IT_number 1
_cell_length_a 4.721
_cell_length_b 4.721
_cell_length_c 4.721
_cell_angle_alpha 60.00
_cell_angle_beta 60.00
_cell_angle_gamma 60.00
loop_
_space_group_symop_operation_xyz
'x,y,z'
loop_
_atom_site_label
_atom_site_fract_x
_atom_site_fract_y
_atom_site_fract_z
_atom_site_occupancy
Li1 0.000 0.000 0.000 1
Si1 0.250 0.250 0.250 1
Si2 0.500 0.500 0.500 1
Br1 0.750 0.750 0.750 1
```

energy: -13.2 eV/cell
volume: 74.4 Å³ per cell
E above lowest polymorph: 0.702 eV per atom
theoretical density: 3.19 g cm⁻³
space group: F-43m (216)
formation energy (no corrections): 1.3 eV per formula unit

(2)
# LiSiBr2

A relaxed LiSiBr2 crystal (PBE, Alexandria via LeMat-Bulk).

CIF file:
```
data_LiSiBr2
_space_group_name_H-M_alt 'P 1'
_space_group_IT_number 1
_cell_length_a 9.034
_cell_length_b 9.034
_cell_length_c 9.034
_cell_angle_alpha 156.15
_cell_angle_beta 155.81
_cell_angle_gamma 34.22
loop_
_space_group_symop_operation_xyz
'x,y,z'
loop_
_atom_site_label
_atom_site_fract_x
_atom_site_fract_y
_atom_site_fract_z
_atom_site_occupancy
Li1 0.000 0.000 0.000 1
Si1 0.788 0.288 0.500 1
Br1 0.244 0.744 0.500 1
Br2 0.503 0.503 0.000 1
```

energy: -12.1 eV/cell
volume: 122.0 Å³ per cell
E above lowest polymorph: 0.111 eV per atom
theoretical density: 2.65 g cm⁻³
space group: Imm2 (44)
formation energy (no corrections): -1.4 eV per formula unit

(3)
# Li2SiBr

A relaxed Li2SiBr crystal (PBE, Alexandria via LeMat-Bulk).

CIF file:
```
data_Li2SiBr
_space_group_name_H-M_alt 'P 1'
_space_group_IT_number 1
_cell_length_a 3.279
_cell_length_b 3.279
_cell_length_c 7.984
_cell_angle_alpha 90.00
_cell_angle_beta 90.00
_cell_angle_gamma 90.00
loop_
_space_group_symop_operation_xyz
'x,y,z'
loop_
_atom_site_label
_atom_site_fract_x
_atom_site_fract_y
_atom_site_fract_z
_atom_site_occupancy
Li1 0.000 0.000 0.000 1
Li2 0.500 0.500 0.441 1
Si1 0.000 0.000 0.654 1
Br1 0.500 0.500 0.130 1
```

energy: -12.4 eV/cell
volume: 85.9 Å³ per cell
E above lowest polymorph: 0.059 eV per atom
theoretical density: 2.36 g cm⁻³
space group: P4mm (99)
formation energy (no corrections): -1.5 eV per formula unit

(4)
# LiSiBr2

A relaxed LiSiBr2 crystal (PBE, Alexandria via LeMat-Bulk).

CIF file:
```
data_LiSiBr2
_space_group_name_H-M_alt 'P 1'
_space_group_IT_number 1
_cell_length_a 5.853
_cell_length_b 5.853
_cell_length_c 5.853
_cell_angle_alpha 141.66
_cell_angle_beta 97.02
_cell_angle_gamma 95.36
loop_
_space_group_symop_operation_xyz
'x,y,z'
loop_
_atom_site_label
_atom_site_fract_x
_atom_site_fract_y
_atom_site_fract_z
_atom_site_occupancy
Li1 0.000 0.000 0.000 1
Si1 0.500 0.000 0.500 1
Br1 0.239 0.500 0.739 1
Br2 0.761 0.500 0.261 1
```

energy: -12.0 eV/cell
volume: 117.5 Å³ per cell
E above lowest polymorph: 0.134 eV per atom
theoretical density: 2.75 g cm⁻³
space group: Immm (71)
formation energy (no corrections): -1.3 eV per formula unit

(5)
# LiSiBr2

A relaxed LiSiBr2 crystal (PBE, Alexandria via LeMat-Bulk).

CIF file:
```
data_LiSiBr2
_space_group_name_H-M_alt 'P 1'
_space_group_IT_number 1
_cell_length_a 3.844
_cell_length_b 3.873
_cell_length_c 8.043
_cell_angle_alpha 90.00
_cell_angle_beta 90.00
_cell_angle_gamma 90.00
loop_
_space_group_symop_operation_xyz
'x,y,z'
loop_
_atom_site_label
_atom_site_fract_x
_atom_site_fract_y
_atom_site_fract_z
_atom_site_occupancy
Li1 0.000 0.000 0.000 1
Si1 0.500 0.000 0.500 1
Br1 0.000 0.500 0.500 1
Br2 0.500 0.500 0.000 1
```

energy: -12.0 eV/cell
volume: 119.7 Å³ per cell
E above lowest polymorph: 0.136 eV per atom
theoretical density: 2.70 g cm⁻³
space group: Pmmm (47)
formation energy (no corrections): -1.3 eV per formula unit

(6)
# LiSi2Br

A relaxed LiSi2Br crystal (PBE, Alexandria via LeMat-Bulk).

CIF file:
```
data_LiSi2Br
_space_group_name_H-M_alt 'P 1'
_space_group_IT_number 1
_cell_length_a 3.453
_cell_length_b 3.477
_cell_length_c 6.829
_cell_angle_alpha 90.00
_cell_angle_beta 91.22
_cell_angle_gamma 90.00
loop_
_space_group_symop_operation_xyz
'x,y,z'
loop_
_atom_site_label
_atom_site_fract_x
_atom_site_fract_y
_atom_site_fract_z
_atom_site_occupancy
Li1 0.000 0.000 0.000 1
Si1 0.462 0.500 0.470 1
Si2 0.962 0.000 0.405 1
Br1 0.493 0.500 0.874 1
```

energy: -15.4 eV/cell
volume: 82.0 Å³ per cell
E above lowest polymorph: 0.154 eV per atom
theoretical density: 2.90 g cm⁻³
space group: Pm (6)
formation energy (no corrections): -0.9 eV per formula unit